Entry from OQMD: a relaxed SrNbNO crystal (PBE).

Values from the calculation:
* magnetic moment: 0.089 μB/atom
* total DFT energy (no corrections): -7.346 eV per atom

The structure in POSCAR format:
```
SrNbNO
1.0
4.457 0.000 0.000
0.000 4.457 0.000
0.000 0.000 6.470
N Sr Nb O
2 2 2 2
Cartesian
2.228 2.228 4.317 N
0.000 0.000 2.155 N
0.000 2.228 3.235 Sr
2.228 0.000 3.235 Sr
2.228 2.228 6.157 Nb
0.000 0.000 0.313 Nb
0.000 2.228 0.000 O
2.228 0.000 0.000 O
```

Entry from OQMD: a relaxed Th2ZrW3 crystal (PBE).

Values from the calculation:
* magnetic moment: 0.004 μB/atom
* energy of formation: 0.95 eV/atom

The structure in POSCAR format:
```
Th2ZrW3
1.0
3.164 4.287 -1.922
-4.977 1.050 2.491
2.326 0.309 4.519
Th Zr W
2 1 3
Cartesian
1.613 3.363 1.808 Th
-1.101 2.284 3.279 Th
1.163 0.155 2.259 Zr
-2.489 0.525 1.245 W
1.582 2.144 -0.961 W
-0.907 2.669 0.284 W
```